Compound: ScUGa6
Source: Alexandria via LeMat-Bulk
Functional: PBE
Structure: relaxed

abc: 4.1901 4.1901 8.3826
angles: 90.00 90.00 90.00
Positions (direct):
Sc 0.0000 0.0000 0.5000
U 0.0000 0.0000 0.0000
Ga 0.5000 0.5000 0.0000
Ga 0.5000 0.5000 0.5000
Ga 0.5000 0.0000 0.2572
Ga 0.5000 0.0000 0.7428
Ga 0.0000 0.5000 0.2572
Ga 0.0000 0.5000 0.7428

Calculated values
E	-4.847	eV per atom
DOS(E_F)	7.01	states/eV/cell
energy of formation	-0.37	eV per atom
magnetic moment	2.167	μB/cell